Pr3Sm8In PBE relaxed; symmetry = P1; E_form = -0.55 eV/f.u.
1.0
6.2655 0.0000 0.0000
-2.1009 7.7736 0.0000
-0.0271 -3.3706 8.1718
Pr Sm In
3 8 1
direct
0.0000 0.0000 0.0000
0.0801 0.7327 0.5758
0.1653 0.4971 0.1629
0.2390 0.2415 0.7399
0.3361 0.0047 0.3314
0.4158 0.7436 0.9100
0.4967 0.4871 0.4902
0.5874 0.2478 0.0782
0.6634 0.9946 0.6574
0.7502 0.7585 0.2471
0.8264 0.4885 0.8216
0.9112 0.2424 0.4134

Pr2Sm9In PBE relaxed; symmetry = P4/mmm; E_form = -0.78 eV/f.u.
1.0
5.0535 0.0000 0.0000
0.0000 5.0535 0.0000
0.0000 0.0000 15.4714
Pr Sm In
2 9 1
direct
0.0000 0.0000 0.1700
0.0000 0.0000 0.8300
0.0000 0.5000 0.0000
0.0000 0.5000 0.3410
0.0000 0.5000 0.6590
0.5000 0.0000 0.0000
0.5000 0.0000 0.3410
0.5000 0.0000 0.6590
0.5000 0.5000 0.1718
0.5000 0.5000 0.5000
0.5000 0.5000 0.8282
0.0000 0.0000 0.5000

PrSm5In8 PBE relaxed; symmetry = I-4; E_form = -5.26 eV/f.u.
1.0
-4.6671 4.6671 4.7109
4.6671 -4.6671 4.7109
4.6671 4.6671 -4.7109
Pr Sm In
1 5 8
direct
0.0000 0.0000 0.0000
0.2437 0.6236 0.1231
0.3764 0.4996 0.6201
0.5004 0.1206 0.8769
0.7500 0.2500 0.5000
0.8794 0.7563 0.3799
0.1261 0.7014 0.7463
0.1324 0.2117 0.7508
0.2986 0.0449 0.4247
0.4609 0.3816 0.2492
0.6184 0.8676 0.0793
0.6201 0.8739 0.5753
0.7883 0.5391 0.9207
0.9551 0.3799 0.2537

Number 2 is which compound? Pr2Sm9In

E_form of number 2 (Pr2Sm9In)? -0.78 eV/f.u.

Look up the E_form of the second one. -0.78 eV/f.u.

E_form of number 3 (PrSm5In8)? -5.26 eV/f.u.